# 1
Entry from Alexandria via LeMat-Bulk: a relaxed structure of Ni3SbAs (GGA-PBE).

Formation energy (no corrections) ... -8.59 kJ/mol of atoms
Distance to the lowest polymorph of the same formula ... 0.000 eV per atom
Space-group type ... P1, No. 1

The structure in CIF format:
```
data_Ni3SbAs
_chemical_formula_sum 'Ni6 Sb2 As2'
_cell_length_a 5.2020
_cell_length_b 5.2037
_cell_length_c 6.8007
_cell_angle_alpha 67.53
_cell_angle_beta 75.98
_cell_angle_gamma 60.63
_space_group_name_H-M_alt 'P 1'
_space_group_IT_number 1
_space_group_name_Hall 'P 1'
loop_
_atom_site_label
_atom_site_fract_x
_atom_site_fract_y
_atom_site_fract_z
Ni1 0.0000 0.0000 0.0000
Ni2 0.0053 0.4951 0.9976
Ni3 0.3610 0.5544 0.5496
Ni4 0.3902 0.0377 0.5457
Ni5 0.5052 0.5581 0.8811
Ni6 0.7632 0.6965 0.3255
Sb1 0.5202 0.0327 0.9131
Sb2 0.9343 0.0956 0.3692
As1 0.2952 0.4907 0.2310
As2 0.9449 0.4342 0.6749
```

---

# 2
Entry from Alexandria via LeMat-Bulk: a relaxed structure of InHgPb2Se (GGA-PBE).

Formation energy (no corrections) ... 23.13 kJ/mol of atoms
Space-group type ... P4/mmm, No. 123

The structure in CIF format:
```
data_InHgPb2Se
_chemical_formula_sum 'In1 Hg1 Pb2 Se1'
_cell_length_a 5.7888
_cell_length_b 5.7888
_cell_length_c 5.5629
_cell_angle_alpha 90.00
_cell_angle_beta 90.00
_cell_angle_gamma 90.00
_space_group_name_H-M_alt 'P 1'
_space_group_IT_number 1
_space_group_name_Hall 'P 1'
loop_
_atom_site_label
_atom_site_fract_x
_atom_site_fract_y
_atom_site_fract_z
In1 0.0000 0.0000 0.0000
Hg1 0.5000 0.5000 0.0000
Pb1 0.0000 0.5000 0.5000
Pb2 0.5000 0.0000 0.5000
Se1 0.0000 0.0000 0.5000
```

---

# 3
Entry from Alexandria via LeMat-Bulk: a relaxed structure of SiOs2Br (GGA-PBE).

Formation energy (no corrections) ... 105.10 kJ/mol of atoms
Distance to the lowest polymorph of the same formula ... 0.623 eV per atom
Space-group type ... C2/m, No. 12

The structure in CIF format:
```
data_SiOs2Br
_chemical_formula_sum 'Si2 Os4 Br2'
_cell_length_a 5.7497
_cell_length_b 8.5468
_cell_length_c 2.9923
_cell_angle_alpha 90.00
_cell_angle_beta 121.39
_cell_angle_gamma 90.00
_space_group_name_H-M_alt 'P 1'
_space_group_IT_number 1
_space_group_name_Hall 'P 1'
loop_
_atom_site_label
_atom_site_fract_x
_atom_site_fract_y
_atom_site_fract_z
Si1 0.0000 0.0000 0.0000
Si2 0.5000 0.5000 0.0000
Os1 0.2500 0.2500 0.0000
Os2 0.2500 0.7500 0.0000
Os3 0.7500 0.2500 0.0000
Os4 0.7500 0.7500 0.0000
Br1 0.0000 0.5000 0.0000
Br2 0.5000 0.0000 0.0000
```

---

# 4
Entry from Alexandria via LeMat-Bulk: a relaxed structure of YEr8Ir6 (GGA-PBE).

Space-group type ... R-3, No. 148
Energy ... -108.54 eV/cell

The structure in CIF format:
```
data_YEr8Ir6
_chemical_formula_sum 'Y1 Er8 Ir6'
_cell_length_a 7.6019
_cell_length_b 7.6019
_cell_length_c 7.6019
_cell_angle_alpha 65.57
_cell_angle_beta 65.57
_cell_angle_gamma 65.57
_space_group_name_H-M_alt 'P 1'
_space_group_IT_number 1
_space_group_name_Hall 'P 1'
loop_
_atom_site_label
_atom_site_fract_x
_atom_site_fract_y
_atom_site_fract_z
Y1 0.0000 0.0000 0.0000
Er1 0.1115 0.4467 0.7780
Er2 0.2220 0.8885 0.5533
Er3 0.3336 0.3336 0.3336
Er4 0.4467 0.7780 0.1115
Er5 0.5533 0.2220 0.8885
Er6 0.6664 0.6664 0.6664
Er7 0.7780 0.1115 0.4467
Er8 0.8885 0.5533 0.2220
Ir1 0.0569 0.7219 0.3918
Ir2 0.2781 0.6082 0.9431
Ir3 0.3918 0.0569 0.7219
Ir4 0.6082 0.9431 0.2781
Ir5 0.7219 0.3918 0.0569
Ir6 0.9431 0.2781 0.6082
```

---

Please write out number 1 again, unchanged.
Entry from Alexandria via LeMat-Bulk: a relaxed structure of Ni3SbAs (GGA-PBE).

Formation energy (no corrections) ... -8.59 kJ/mol of atoms
Distance to the lowest polymorph of the same formula ... 0.000 eV per atom
Space-group type ... P1, No. 1

The structure in CIF format:
```
data_Ni3SbAs
_chemical_formula_sum 'Ni6 Sb2 As2'
_cell_length_a 5.2020
_cell_length_b 5.2037
_cell_length_c 6.8007
_cell_angle_alpha 67.53
_cell_angle_beta 75.98
_cell_angle_gamma 60.63
_space_group_name_H-M_alt 'P 1'
_space_group_IT_number 1
_space_group_name_Hall 'P 1'
loop_
_atom_site_label
_atom_site_fract_x
_atom_site_fract_y
_atom_site_fract_z
Ni1 0.0000 0.0000 0.0000
Ni2 0.0053 0.4951 0.9976
Ni3 0.3610 0.5544 0.5496
Ni4 0.3902 0.0377 0.5457
Ni5 0.5052 0.5581 0.8811
Ni6 0.7632 0.6965 0.3255
Sb1 0.5202 0.0327 0.9131
Sb2 0.9343 0.0956 0.3692
As1 0.2952 0.4907 0.2310
As2 0.9449 0.4342 0.6749
```